(1)
Density functional theory data (PBE) for a geometry-optimized LiPrHoPd structure.

## Properties
The formation energy comes out at -0.353 eV per atom. As for the symmetry: No. 216. For the total moment, the calculation gives 0.000 μB per atom.

Cell: 7.2454 7.2454 7.2454 Å, 90.00 90.00 90.00°
With the nearest neighbours (Å) after each atom.
Element x y z (fractional)
Li 0.0000 0.0000 0.0000  4 Ho 3.14, 4 Pr 3.14
Li 0.0000 0.5000 0.5000  4 Pr 3.14, 4 Ho 3.14
Li 0.5000 0.0000 0.5000  4 Pr 3.14, 4 Ho 3.14
Li 0.5000 0.5000 0.0000  4 Pr 3.14, 4 Ho 3.14
Pr 0.2500 0.2500 0.7500  4 Li 3.14, 4 Pd 3.14
Pr 0.2500 0.7500 0.2500  4 Li 3.14, 4 Pd 3.14
Pr 0.7500 0.2500 0.2500  4 Li 3.14, 4 Pd 3.14
Pr 0.7500 0.7500 0.7500  4 Li 3.14, 4 Pd 3.14
Ho 0.2500 0.2500 0.2500  4 Li 3.14, 4 Pd 3.14
Ho 0.2500 0.7500 0.7500  4 Li 3.14, 4 Pd 3.14
Ho 0.7500 0.2500 0.7500  4 Li 3.14, 4 Pd 3.14
Ho 0.7500 0.7500 0.2500  4 Li 3.14, 4 Pd 3.14
Pd 0.0000 0.0000 0.5000  4 Pr 3.14, 4 Ho 3.14
Pd 0.0000 0.5000 0.0000  4 Pr 3.14, 4 Ho 3.14
Pd 0.5000 0.0000 0.0000  4 Pr 3.14, 4 Ho 3.14
Pd 0.5000 0.5000 0.5000  4 Pr 3.14, 4 Ho 3.14

---

(2)
Density functional theory data (PBE) for a geometry-optimized LiPrHo2Pd4 structure.

## Properties
The formation energy comes out at -0.744 eV per atom. As for the symmetry: No. 166. For the total moment, the calculation gives 0.000 μB per atom.

Cell: 8.6956 8.6956 8.6956 Å, 32.29 32.29 32.29°
With the nearest neighbours (Å) after each atom.
Element x y z (fractional)
Li 0.0000 0.0000 0.0000  8 Pd 2.71-2.99
Pr 0.5000 0.5000 0.5000  8 Pd 3.04-3.13
Ho 0.2626 0.2626 0.2626  7 Pd 2.83-2.95
Ho 0.7374 0.7374 0.7374  7 Pd 2.83-2.95
Pd 0.1098 0.1098 0.1098  1 Li 2.71, 3 Ho 2.95
Pd 0.3770 0.3770 0.3770  4 Ho 2.83-2.87, 3 Li 2.99, 1 Pr 3.04
Pd 0.6230 0.6230 0.6230  4 Ho 2.83-2.87, 3 Li 2.99, 1 Pr 3.04
Pd 0.8902 0.8902 0.8902  1 Li 2.71, 3 Ho 2.95

---

(3)
Density functional theory data (PBE) for a geometry-optimized LiHoPdRh structure.

## Properties
The formation energy comes out at -0.630 eV per atom. As for the symmetry: No. 216. For the total moment, the calculation gives 0.000 μB per atom. The calculation puts the energy above the most stable polymorph in this dataset at 2.6 kJ/mol of atoms.

Cell: 6.4961 6.4961 6.4961 Å, 90.00 90.00 90.00°
With the nearest neighbours (Å) after each atom.
Element x y z (fractional)
Li 0.0000 0.0000 0.0000  4 Pd 2.81, 4 Rh 2.81
Li 0.0000 0.5000 0.5000  4 Pd 2.81, 4 Rh 2.81
Li 0.5000 0.0000 0.5000  4 Pd 2.81, 4 Rh 2.81
Li 0.5000 0.5000 0.0000  4 Pd 2.81, 4 Rh 2.81
Ho 0.0000 0.0000 0.5000  4 Rh 2.81, 4 Pd 2.81
Ho 0.0000 0.5000 0.0000  4 Rh 2.81, 4 Pd 2.81
Ho 0.5000 0.0000 0.0000  4 Rh 2.81, 4 Pd 2.81
Ho 0.5000 0.5000 0.5000  4 Rh 2.81, 4 Pd 2.81
Pd 0.2500 0.2500 0.2500  4 Ho 2.81, 4 Li 2.81
Pd 0.2500 0.7500 0.7500  4 Ho 2.81, 4 Li 2.81
Pd 0.7500 0.2500 0.7500  4 Ho 2.81, 4 Li 2.81
Pd 0.7500 0.7500 0.2500  4 Ho 2.81, 4 Li 2.81
Rh 0.2500 0.2500 0.7500  4 Li 2.81, 4 Ho 2.81
Rh 0.2500 0.7500 0.2500  4 Li 2.81, 4 Ho 2.81
Rh 0.7500 0.2500 0.2500  4 Li 2.81, 4 Ho 2.81
Rh 0.7500 0.7500 0.7500  4 Li 2.81, 4 Ho 2.81

---

(4)
Density functional theory data (PBE) for a geometry-optimized LiHoPdRh structure.

## Properties
The formation energy comes out at -0.657 eV per atom. As for the symmetry: No. 47. For the total moment, the calculation gives 0.000 μB per atom. The calculation puts the energy above the most stable polymorph in this dataset at 0.0 kJ/mol of atoms.

Cell: 3.7455 4.1148 4.3852 Å, 90.00 90.00 90.00°
With the nearest neighbours (Å) after each atom.
Element x y z (fractional)
Li 0.0000 0.0000 0.0000  4 Pd 2.78, 4 Rh 2.88, 4 Ho 3.01
Ho 0.0000 0.5000 0.5000  4 Rh 2.78, 4 Pd 2.88, 4 Li 3.01
Pd 0.5000 0.5000 0.0000  4 Li 2.78, 4 Ho 2.88, 4 Rh 3.01
Rh 0.5000 0.0000 0.5000  4 Ho 2.78, 4 Li 2.88, 4 Pd 3.01

---

(5)
Density functional theory data (PBE) for a geometry-optimized LiHoSb2Pd4 structure.

## Properties
As for the symmetry: No. 166. The energy relative to the elements, uncorrected is -713.6 meV per atom. For the total moment, the calculation gives 0.000 μB per atom.

Cell: 8.2689 8.2689 8.2689 Å, 32.44 32.44 32.44°
With the nearest neighbours (Å) after each atom.
Element x y z (fractional)
Li 0.0000 0.0000 0.0000  8 Pd 2.64-2.82
Ho 0.5000 0.5000 0.5000  8 Pd 2.96-3.00
Sb 0.2542 0.2542 0.2542  7 Pd 2.77-2.83
Sb 0.7458 0.7458 0.7458  7 Pd 2.77-2.83
Pd 0.1123 0.1123 0.1123  1 Li 2.64, 3 Sb 2.78
Pd 0.3721 0.3721 0.3721  4 Sb 2.77-2.83, 3 Li 2.82, 1 Ho 3.00
Pd 0.6279 0.6279 0.6279  4 Sb 2.77-2.83, 3 Li 2.82, 1 Ho 3.00
Pd 0.8877 0.8877 0.8877  1 Li 2.64, 3 Sb 2.78

---

(6)
Density functional theory data (PBE) for a geometry-optimized LiHoSbPd structure.

## Properties
As for the symmetry: No. 216. The energy relative to the elements, uncorrected is -716.4 meV per atom. For the total moment, the calculation gives 0.000 μB per atom.

Cell: 6.9401 6.9401 6.9401 Å, 90.00 90.00 90.00°
With the nearest neighbours (Å) after each atom.
Element x y z (fractional)
Li 0.0000 0.0000 0.0000  4 Sb 3.01, 4 Pd 3.01
Li 0.0000 0.5000 0.5000  4 Sb 3.01, 4 Pd 3.01
Li 0.5000 0.0000 0.5000  4 Sb 3.01, 4 Pd 3.01
Li 0.5000 0.5000 0.0000  4 Sb 3.01, 4 Pd 3.01
Ho 0.0000 0.0000 0.5000  4 Sb 3.01, 4 Pd 3.01
Ho 0.0000 0.5000 0.0000  4 Sb 3.01, 4 Pd 3.01
Ho 0.5000 0.0000 0.0000  4 Sb 3.01, 4 Pd 3.01
Ho 0.5000 0.5000 0.5000  4 Sb 3.01, 4 Pd 3.01
Sb 0.2500 0.2500 0.7500  4 Li 3.01, 4 Ho 3.01
Sb 0.2500 0.7500 0.2500  4 Li 3.01, 4 Ho 3.01
Sb 0.7500 0.2500 0.2500  4 Li 3.01, 4 Ho 3.01
Sb 0.7500 0.7500 0.7500  4 Li 3.01, 4 Ho 3.01
Pd 0.2500 0.2500 0.2500  4 Li 3.01, 4 Ho 3.01
Pd 0.2500 0.7500 0.7500  4 Li 3.01, 4 Ho 3.01
Pd 0.7500 0.2500 0.7500  4 Li 3.01, 4 Ho 3.01
Pd 0.7500 0.7500 0.2500  4 Li 3.01, 4 Ho 3.01

---

(7)
Density functional theory data (PBE) for a geometry-optimized LiHoSc2Pd4 structure.

## Properties
The formation energy comes out at -0.790 eV per atom. As for the symmetry: No. 166. For the total moment, the calculation gives 0.000 μB per atom.

Cell: 8.1005 8.1005 8.1005 Å, 33.58 33.58 33.58°
With the nearest neighbours (Å) after each atom.
Element x y z (fractional)
Li 0.0000 0.0000 0.0000  8 Pd 2.76-2.88
Ho 0.5000 0.5000 0.5000  8 Pd 2.83-2.90
Sc 0.2580 0.2580 0.2580  7 Pd 2.71-2.89
Sc 0.7420 0.7420 0.7420  7 Pd 2.71-2.89
Pd 0.1203 0.1203 0.1203  1 Li 2.76, 3 Sc 2.89, 3 Ho 2.90
Pd 0.3763 0.3763 0.3763  4 Sc 2.71-2.80, 1 Ho 2.83, 3 Li 2.88
Pd 0.6237 0.6237 0.6237  4 Sc 2.71-2.80, 1 Ho 2.83, 3 Li 2.88
Pd 0.8797 0.8797 0.8797  1 Li 2.76, 3 Sc 2.89, 3 Ho 2.90

---

(8)
Density functional theory data (PBE) for a geometry-optimized Li2HoScPd4 structure.

## Properties
The formation energy comes out at -0.712 eV per atom. As for the symmetry: No. 166. For the total moment, the calculation gives 0.000 μB per atom.

Cell: 7.9684 7.9684 7.9684 Å, 33.41 33.41 33.41°
With the nearest neighbours (Å) after each atom.
Element x y z (fractional)
Li 0.2481 0.2481 0.2481  8 Pd 2.71-2.96
Li 0.7519 0.7519 0.7519  8 Pd 2.71-2.96
Ho 0.0000 0.0000 0.0000  8 Pd 2.84-2.88
Sc 0.5000 0.5000 0.5000  8 Pd 2.72-2.79
Pd 0.1279 0.1279 0.1279  4 Li 2.71-2.81, 3 Sc 2.79, 1 Ho 2.88
Pd 0.3792 0.3792 0.3792  1 Sc 2.72, 4 Li 2.79-2.96, 3 Ho 2.84
Pd 0.6208 0.6208 0.6208  1 Sc 2.72, 4 Li 2.79-2.96, 3 Ho 2.84
Pd 0.8721 0.8721 0.8721  4 Li 2.71-2.81, 3 Sc 2.79, 1 Ho 2.88